No. 1
Density functional theory data (PBE-GGA) for LaTlHgSb after structural relaxation.

Values from the calculation:
Uncorrected formation energy   -0.4513 eV per atom
Symmetry   F-43m
Uncorrected energy   -3.38 eV/atom

a = 5.514 Å, b = 5.514 Å, c = 5.514 Å
α = 60.00°, β = 60.00°, γ = 60.00°
Atoms (fractional coordinates):
La  0.500  0.500  0.500
Hg  0.250  0.250  0.250
Sb  0.750  0.750  0.750
Tl  0.000  0.000  0.000



No. 2
Density functional theory data (PBE-GGA) for ZnCd2Ag after structural relaxation.

Values from the calculation:
Symmetry   Cm
Formation enthalpy at 0 K   -0.014 eV per atom
Uncorrected energy   -1.50 eV/atom

a = 5.604 Å, b = 5.604 Å, c = 5.252 Å
α = 62.23°, β = 62.23°, γ = 31.82°
Atoms (fractional coordinates):
Zn  0.508  0.508  0.574
Cd  0.759  0.759  0.672
Cd  0.994  0.994  0.071
Ag  0.239  0.239  0.184



No. 3
Density functional theory data (PBE-GGA) for SmTm3Th2Sb6 after structural relaxation.

Values from the calculation:
Uncorrected formation energy   -1.0369 eV per atom
Symmetry   C2/m
Uncorrected energy   -5.85 eV/atom

a = 4.428 Å, b = 8.811 Å, c = 9.862 Å
α = 102.61°, β = 102.97°, γ = 90.00°
Atoms (fractional coordinates):
Tm  0.834  0.166  0.667
Tm  0.500  0.500  0.000
Tm  0.166  0.834  0.333
Th  0.835  0.669  0.670
Th  0.165  0.331  0.330
Sb  0.003  0.745  0.006
Sb  0.331  0.924  0.663
Sb  0.336  0.410  0.671
Sb  0.664  0.590  0.329
Sb  0.669  0.076  0.337
Sb  0.997  0.255  0.994
Sm  0.500  0.000  0.000



No. 4
Density functional theory data (PBE-GGA) for SmGdO after structural relaxation.

Values from the calculation:
Uncorrected formation energy   -1.7670 eV per atom
Symmetry   P3m1
Uncorrected energy   -9.69 eV/atom

a = 3.588 Å, b = 3.588 Å, c = 5.965 Å
α = 90.00°, β = 90.00°, γ = 120.00°
Atoms (fractional coordinates):
Sm  0.667  0.333  0.431
Gd  0.000  0.000  0.896
O  0.333  0.667  0.673



No. 5
Density functional theory data (PBE-GGA) for YPuSnAu after structural relaxation.

Values from the calculation:
Symmetry   F-43m
Formation enthalpy at 0 K   -0.536 eV per atom
Uncorrected energy   -7.55 eV/atom

a = 5.258 Å, b = 5.258 Å, c = 5.258 Å
α = 60.00°, β = 60.00°, γ = 60.00°
Atoms (fractional coordinates):
Sn  0.500  0.500  0.500
Au  0.000  0.000  0.000
Pu  0.250  0.250  0.250
Y  0.750  0.750  0.750



No. 6
Density functional theory data (PBE-GGA) for Sm12Dy6Th after structural relaxation.

Values from the calculation:
Symmetry   R-3m
Formation enthalpy at 0 K   0.129 eV per atom
Energy above the lowest structure with this stoichiometry   0.0 meV/atom
Uncorrected energy   -4.70 eV/atom

a = 8.756 Å, b = 8.756 Å, c = 8.756 Å
α = 98.23°, β = 98.23°, γ = 98.23°
Atoms (fractional coordinates):
Sm  0.170  0.586  0.586
Sm  0.830  0.414  0.414
Sm  0.414  0.414  0.830
Sm  0.737  0.263  0.000
Sm  0.737  0.000  0.263
Sm  0.586  0.170  0.586
Sm  0.414  0.830  0.414
Sm  0.586  0.586  0.170
Sm  0.263  0.737  0.000
Sm  0.000  0.737  0.263
Sm  0.000  0.263  0.737
Sm  0.263  0.000  0.737
Dy  0.596  0.860  0.860
Dy  0.140  0.140  0.404
Dy  0.860  0.860  0.596
Dy  0.860  0.596  0.860
Dy  0.404  0.140  0.140
Dy  0.140  0.404  0.140
Th  0.000  0.000  0.000



No. 7
Density functional theory data (PBE-GGA) for Cu2PCl after structural relaxation.

Values from the calculation:
Uncorrected formation energy   -0.0093 eV per atom
Symmetry   Pmm2
Energy above the lowest structure with this stoichiometry   86.4 meV/atom
Uncorrected energy   -3.87 eV/atom

a = 3.277 Å, b = 3.098 Å, c = 7.014 Å
α = 90.00°, β = 90.00°, γ = 90.00°
Atoms (fractional coordinates):
P  0.000  0.000  0.367
Cu  0.500  0.500  0.242
Cu  0.000  0.000  0.037
Cl  0.500  0.500  0.854



No. 8
Density functional theory data (PBE-GGA) for ScAlSb2 after structural relaxation.

Values from the calculation:
Uncorrected formation energy   -0.3217 eV per atom
Symmetry   P4/mmm
Energy above the lowest structure with this stoichiometry   93.1 meV/atom
Uncorrected energy   -4.90 eV/atom

a = 3.885 Å, b = 3.885 Å, c = 6.098 Å
α = 90.00°, β = 90.00°, γ = 90.00°
Atoms (fractional coordinates):
Al  0.500  0.500  0.750
Sb  0.000  0.000  0.003
Sb  0.000  0.000  0.497
Sc  0.500  0.500  0.250